P:
VASP calculation (GGA-PBE) on crystalline TlCu2Ag2 at its relaxed geometry.

Structure (POSCAR):
```
TlCu2Ag2
1.0
3.5846 0.0000 0.0000
0.0000 3.5846 0.0000
0.0000 0.0000 14.7235
Tl Cu Ag
2 4 4
direct
0.0000 0.0000 0.0000
0.5000 0.5000 0.5000
0.0000 0.5000 0.2500
0.0000 0.5000 0.7500
0.5000 0.0000 0.2500
0.5000 0.0000 0.7500
0.0000 0.0000 0.3860
0.0000 0.0000 0.6140
0.5000 0.5000 0.1140
0.5000 0.5000 0.8860
```

Q:
VASP calculation (GGA-PBE) on crystalline TlCu2Ag2 at its relaxed geometry.

Structure (POSCAR):
```
TlCu2Ag2
1.0
7.0315 0.0000 0.0000
0.0000 7.0315 0.0000
0.0000 0.0000 3.5544
Tl Cu Ag
2 4 4
direct
0.0000 0.0000 0.0000
0.5000 0.5000 0.0000
0.1280 0.3720 0.0000
0.3720 0.8720 0.0000
0.6280 0.1280 0.0000
0.8720 0.6280 0.0000
0.1609 0.6609 0.5000
0.3391 0.1609 0.5000
0.6609 0.8391 0.5000
0.8391 0.3391 0.5000
```

Quick one: least stable of them? P

P:
VASP calculation (GGA-PBE) on crystalline YTmCuAg at its relaxed geometry.

Structure (POSCAR):
```
YTmCuAg
1.0
7.0879 0.0000 0.0000
0.0000 7.0879 0.0000
0.0000 0.0000 7.0879
Y Tm Cu Ag
4 4 4 4
direct
0.0000 0.0000 0.0000
0.0000 0.5000 0.5000
0.5000 0.0000 0.5000
0.5000 0.5000 0.0000
0.0000 0.0000 0.5000
0.0000 0.5000 0.0000
0.5000 0.0000 0.0000
0.5000 0.5000 0.5000
0.2500 0.2500 0.7500
0.2500 0.7500 0.2500
0.7500 0.2500 0.2500
0.7500 0.7500 0.7500
0.2500 0.2500 0.2500
0.2500 0.7500 0.7500
0.7500 0.2500 0.7500
0.7500 0.7500 0.2500
```

Q:
VASP calculation (GGA-PBE) on crystalline YTmCuAg at its relaxed geometry.

Structure (POSCAR):
```
YTmCuAg
1.0
3.5151 0.0000 0.0000
0.0000 3.5151 0.0000
0.0000 0.0000 7.1541
Y Tm Cu Ag
1 1 1 1
direct
0.0000 0.0000 0.0000
0.0000 0.0000 0.4731
0.5000 0.5000 0.2471
0.5000 0.5000 0.7268
```

Quick one: least stable of them? P